DFT (PBE) results for an optimized crystal structure of Cu2AsH.

## Properties
The calculation puts the excess energy over the best structure of this formula in the dataset at 30 meV per atom. The crystal system is trigonal.

```
data_Cu2AsH
_cell_length_a 4.0784
_cell_length_b 4.0784
_cell_length_c 13.1591
_cell_angle_alpha 90.00
_cell_angle_beta 90.00
_cell_angle_gamma 120.00
_space_group_name_H-M_alt 'R -3 m'
_space_group_IT_number 166
_space_group_name_Hall '-R 3 2"'
loop_
_atom_site_label
_atom_site_type_symbol
_atom_site_fract_x
_atom_site_fract_y
_atom_site_fract_z
Cu1 Cu 0.0000 0.0000 0.1219
As1 As 0.0000 0.0000 0.5000
H1 H 0.0000 0.0000 0.0000
```

***

DFT (PBE) results for an optimized crystal structure of PmNdHo6.

## Properties
As for the formation energy from the elements: 0.149 eV/atom. The calculation puts the excess energy over the best structure of this formula in the dataset at 0 meV per atom. The crystal system is triclinic.

```
data_PmNdHo6
_cell_length_a 6.451
_cell_length_b 6.453
_cell_length_c 6.455
_cell_angle_alpha 96.55
_cell_angle_beta 96.62
_cell_angle_gamma 96.53
_space_group_name_H-M_alt 'P -1'
_space_group_IT_number 2
_space_group_name_Hall '-P 1'
loop_
_atom_site_label
_atom_site_type_symbol
_atom_site_fract_x
_atom_site_fract_y
_atom_site_fract_z
Pm1 Pm 0.000 0.000 0.000
Nd1 Nd 0.500 0.500 0.500
Ho1 Ho 0.045 0.751 0.455
Ho2 Ho 0.250 0.545 0.954
Ho3 Ho 0.455 0.046 0.750
```

***

DFT (PBE) results for an optimized crystal structure of LiBi3B.

## Properties
As for the formation energy from the elements: 0.595 eV/atom. The calculation puts the excess energy over the best structure of this formula in the dataset at 0 meV per atom. The crystal system is cubic.

```
data_LiBi3B
_cell_length_a 5.129
_cell_length_b 5.129
_cell_length_c 5.129
_cell_angle_alpha 90.00
_cell_angle_beta 90.00
_cell_angle_gamma 90.00
_space_group_name_H-M_alt 'P m -3 m'
_space_group_IT_number 221
_space_group_name_Hall '-P 4 2 3'
loop_
_atom_site_label
_atom_site_type_symbol
_atom_site_fract_x
_atom_site_fract_y
_atom_site_fract_z
Li1 Li 0.000 0.000 0.000
Bi1 Bi 0.000 0.500 0.500
B1 B 0.500 0.500 0.500
```

***

DFT (PBE) results for an optimized crystal structure of RbCaBi2I.

## Properties
The value obtained for the formation energy (no corrections) is 0.77 eV/atom. The crystal system is tetragonal.

```
data_RbCaBi2I
_cell_length_a 6.092
_cell_length_b 6.092
_cell_length_c 6.947
_cell_angle_alpha 90.00
_cell_angle_beta 90.00
_cell_angle_gamma 90.00
_space_group_name_H-M_alt 'P 4/m m m'
_space_group_IT_number 123
_space_group_name_Hall '-P 4 2'
loop_
_atom_site_label
_atom_site_type_symbol
_atom_site_fract_x
_atom_site_fract_y
_atom_site_fract_z
Rb1 Rb 0.000 0.000 0.000
Ca1 Ca 0.000 0.000 0.500
Bi1 Bi 0.000 0.500 0.000
I1 I 0.500 0.500 0.500
```

***

DFT (PBE) results for an optimized crystal structure of TiTcAg2Ir.

## Properties
As for the formation energy from the elements: 1.573 eV/atom. The crystal system is tetragonal.

```
data_TiTcAg2Ir
_cell_length_a 4.792
_cell_length_b 4.792
_cell_length_c 4.304
_cell_angle_alpha 90.00
_cell_angle_beta 90.00
_cell_angle_gamma 90.00
_space_group_name_H-M_alt 'P 4/m m m'
_space_group_IT_number 123
_space_group_name_Hall '-P 4 2'
loop_
_atom_site_label
_atom_site_type_symbol
_atom_site_fract_x
_atom_site_fract_y
_atom_site_fract_z
Ti1 Ti 0.000 0.000 0.000
Tc1 Tc 0.000 0.000 0.500
Ag1 Ag 0.000 0.500 0.000
Ir1 Ir 0.500 0.500 0.500
```

***

DFT (PBE) results for an optimized crystal structure of Cr2TeSe.

## Properties
The value obtained for the formation energy (no corrections) is -0.16 eV/atom. The calculation puts the excess energy over the best structure of this formula in the dataset at 0 meV per atom. The crystal system is hexagonal.

```
data_Cr2TeSe
_cell_length_a 3.9462
_cell_length_b 3.9462
_cell_length_c 6.2943
_cell_angle_alpha 90.00
_cell_angle_beta 90.00
_cell_angle_gamma 120.00
_space_group_name_H-M_alt 'P -6 m 2'
_space_group_IT_number 187
_space_group_name_Hall 'P -6 2'
loop_
_atom_site_label
_atom_site_type_symbol
_atom_site_fract_x
_atom_site_fract_y
_atom_site_fract_z
Cr1 Cr 0.0000 0.0000 0.2377
Te1 Te 0.3333 0.6667 0.5000
Se1 Se 0.6667 0.3333 0.0000
```

***

DFT (PBE) results for an optimized crystal structure of CsTaP2Cl.

## Properties
The value obtained for the formation energy (no corrections) is 2.29 eV/atom. The calculation puts the excess energy over the best structure of this formula in the dataset at 2773 meV per atom. The crystal system is tetragonal.

```
data_CsTaP2Cl
_cell_length_a 5.381
_cell_length_b 5.381
_cell_length_c 5.582
_cell_angle_alpha 90.00
_cell_angle_beta 90.00
_cell_angle_gamma 90.00
_space_group_name_H-M_alt 'P 4/m m m'
_space_group_IT_number 123
_space_group_name_Hall '-P 4 2'
loop_
_atom_site_label
_atom_site_type_symbol
_atom_site_fract_x
_atom_site_fract_y
_atom_site_fract_z
Cs1 Cs 0.000 0.000 0.000
Ta1 Ta 0.500 0.500 0.500
P1 P 0.000 0.500 0.000
Cl1 Cl 0.000 0.000 0.500
```

***

DFT (PBE) results for an optimized crystal structure of LaAl2Cr.

## Properties
As for the formation energy from the elements: 0.077 eV/atom. The crystal system is tetragonal.

```
data_LaAl2Cr
_cell_length_a 4.363
_cell_length_b 4.363
_cell_length_c 4.618
_cell_angle_alpha 90.00
_cell_angle_beta 90.00
_cell_angle_gamma 90.00
_space_group_name_H-M_alt 'P 4/m m m'
_space_group_IT_number 123
_space_group_name_Hall '-P 4 2'
loop_
_atom_site_label
_atom_site_type_symbol
_atom_site_fract_x
_atom_site_fract_y
_atom_site_fract_z
La1 La 0.000 0.000 0.000
Al1 Al 0.000 0.500 0.500
Cr1 Cr 0.500 0.500 0.000
```